Ho3Zn: relaxed, GGA-PBE.

a = 3.4359 Å, b = 3.4822 Å, c = 9.6165 Å
α = 90.00°, β = 90.00°, γ = 90.00°
With the nearest neighbours (Å) after each atom.
Sites, in units of the cell vectors:
Ho: 0.0000 0.0000 0.0000  10 Ho 3.44-3.48
Ho: 0.0000 0.5000 0.3132  4 Zn 2.97
Ho: 0.5000 0.5000 0.7425  2 Zn 3.00
Zn: 0.5000 0.0000 0.4887  6 Ho 2.97-3.00

## Properties
The calculation puts the density at 8.09 Mg/m³. For the energy of formation, the calculation gives 0.10 eV/atom. For the density of states at the Fermi level, the calculation gives 1.507 states/eV per atom.



DySi2Ge: relaxed, GGA-PBE.

a = 4.2594 Å, b = 4.2594 Å, c = 4.1164 Å
α = 90.00°, β = 90.00°, γ = 90.00°
With the nearest neighbours (Å) after each atom.
Sites, in units of the cell vectors:
Dy: 0.0000 0.0000 0.0000  8 Si 2.96, 4 Ge 3.01
Si: 0.0000 0.5000 0.5000  4 Ge 2.96, 4 Dy 2.96, 4 Si 3.01
Si: 0.5000 0.0000 0.5000  4 Ge 2.96, 4 Dy 2.96, 4 Si 3.01
Ge: 0.5000 0.5000 0.0000  8 Si 2.96, 4 Dy 3.01

## Properties
The calculation puts the density at 6.48 Mg/m³. As for the formation energy without anion corrections: -0.24 eV per atom. For the density of states at the Fermi level, the calculation gives 0.466 states/eV per atom.